First-principles (meta-GGA SCAN) data for Mn2CdAs at its PBEsol-relaxed geometry, as listed in the Alexandria database. Values from VASP.

Cell and atoms, written as Quantum ESPRESSO input:
```
&SYSTEM
  ibrav = 0, nat = 4, ntyp = 3
/
ATOMIC_SPECIES
As 74.92 As.upf
Cd 112.41 Cd.upf
Mn 54.94 Mn.upf
CELL_PARAMETERS angstrom
3.376 0.000 0.000
0.000 4.122 -0.298
-1.688 -1.740 4.608
ATOMIC_POSITIONS angstrom
As 0.000 0.308 4.265
Cd 0.000 2.216 2.000
Mn 0.000 0.007 0.098
Mn 1.688 0.174 2.406
```

Calculated values
E_form in meV/atom: -54
Mass density in g/cm3: 7.91


First-principles (meta-GGA SCAN) data for MnCdAs2 at its PBEsol-relaxed geometry, as listed in the Alexandria database. Values from VASP.

Cell and atoms, written as Quantum ESPRESSO input:
```
&SYSTEM
  ibrav = 0, nat = 4, ntyp = 3
/
ATOMIC_SPECIES
As 74.92 As.upf
Cd 112.41 Cd.upf
Mn 54.94 Mn.upf
CELL_PARAMETERS angstrom
2.821 -0.025 0.000
-0.628 2.750 0.000
0.000 0.000 9.556
ATOMIC_POSITIONS angstrom
As 0.000 0.000 1.749
As 0.000 0.000 7.807
Cd 1.096 1.363 4.778
Mn 1.096 1.363 0.000
```

Calculated values
E_form in meV/atom: -58
Mass density in g/cm3: 7.12


First-principles (meta-GGA SCAN) data for Mn2CdAs at its PBEsol-relaxed geometry, as listed in the Alexandria database. Values from VASP.

Cell and atoms, written as Quantum ESPRESSO input:
```
&SYSTEM
  ibrav = 0, nat = 4, ntyp = 3
/
ATOMIC_SPECIES
As 74.92 As.upf
Cd 112.41 Cd.upf
Mn 54.94 Mn.upf
CELL_PARAMETERS angstrom
3.555 0.000 0.000
0.000 4.520 0.000
-1.778 -2.260 3.688
ATOMIC_POSITIONS angstrom
As 1.778 0.000 0.000
Cd 0.000 2.260 0.000
Mn 1.778 2.260 2.084
Mn 0.000 0.000 1.604
```

Calculated values
E_form in meV/atom: 46
Mass density in g/cm3: 8.33


First-principles (meta-GGA SCAN) data for MnCd2AsO at its PBEsol-relaxed geometry, as listed in the Alexandria database. Values from VASP.

Cell and atoms, written as Quantum ESPRESSO input:
```
&SYSTEM
  ibrav = 0, nat = 5, ntyp = 4
/
ATOMIC_SPECIES
As 74.92 As.upf
Mn 54.94 Mn.upf
O 16.00 O.upf
Cd 112.41 Cd.upf
CELL_PARAMETERS angstrom
-1.783 -0.689 2.865
1.207 -5.073 -0.468
4.314 0.761 2.868
ATOMIC_POSITIONS angstrom
As 1.869 -2.500 2.632
Mn 0.000 0.000 0.000
O -0.892 -0.344 1.433
Cd 2.157 0.381 1.434
Cd 0.603 -2.537 -0.234
```

Calculated values
Formation energy from raw total energies in kJ/mol of formula units: -104
Mass density in g/cm3: 6.52


First-principles (meta-GGA SCAN) data for MnCdAsSe2 at its PBEsol-relaxed geometry, as listed in the Alexandria database. Values from VASP.

Cell and atoms, written as Quantum ESPRESSO input:
```
&SYSTEM
  ibrav = 0, nat = 5, ntyp = 4
/
ATOMIC_SPECIES
As 74.92 As.upf
Mn 54.94 Mn.upf
Se 78.96 Se.upf
Cd 112.41 Cd.upf
CELL_PARAMETERS angstrom
4.475 0.000 0.000
0.000 4.853 0.000
0.000 0.000 4.853
ATOMIC_POSITIONS angstrom
As 2.237 0.000 0.000
Mn 0.000 0.000 0.000
Se 0.000 0.000 2.426
Se 0.000 2.426 0.000
Cd 2.237 2.426 2.426
```

Calculated values
Formation energy from raw total energies in kJ/mol of formula units: 52
Mass density in g/cm3: 6.31


First-principles (meta-GGA SCAN) data for CdMo3As at its PBEsol-relaxed geometry, as listed in the Alexandria database. Values from VASP.

Cell and atoms, written as Quantum ESPRESSO input:
```
&SYSTEM
  ibrav = 0, nat = 5, ntyp = 3
/
ATOMIC_SPECIES
Mo 95.94 Mo.upf
As 74.92 As.upf
Cd 112.41 Cd.upf
CELL_PARAMETERS angstrom
-1.195 -1.761 -4.057
2.947 -3.451 0.630
-3.298 -2.445 2.033
ATOMIC_POSITIONS angstrom
Mo 1.473 -1.726 0.315
Mo -1.649 -1.223 1.016
Mo -0.597 -0.880 -2.029
As 0.000 0.000 0.000
Cd -0.773 -3.829 -0.697
```

Calculated values
E_form in meV/atom: 1100
Mass density in g/cm3: 8.20


First-principles (meta-GGA SCAN) data for Cd2MoAs at its PBEsol-relaxed geometry, as listed in the Alexandria database. Values from VASP.

Cell and atoms, written as Quantum ESPRESSO input:
```
&SYSTEM
  ibrav = 0, nat = 4, ntyp = 3
/
ATOMIC_SPECIES
Mo 95.94 Mo.upf
As 74.92 As.upf
Cd 112.41 Cd.upf
CELL_PARAMETERS angstrom
-0.441 -0.673 -2.709
-1.435 -2.298 0.805
-7.884 4.943 0.056
ATOMIC_POSITIONS angstrom
Mo -0.938 -1.486 -0.952
As -4.880 0.986 -0.924
Cd -6.050 3.793 0.043
Cd -1.834 1.150 0.013
```

Calculated values
E_form in meV/atom: 424
Mass density in g/cm3: 8.84


First-principles (meta-GGA SCAN) data for Cd2MoAs at its PBEsol-relaxed geometry, as listed in the Alexandria database. Values from VASP.

Cell and atoms, written as Quantum ESPRESSO input:
```
&SYSTEM
  ibrav = 0, nat = 4, ntyp = 3
/
ATOMIC_SPECIES
Mo 95.94 Mo.upf
As 74.92 As.upf
Cd 112.41 Cd.upf
CELL_PARAMETERS angstrom
-3.362 0.133 -2.323
1.279 -3.305 -2.039
-0.978 -0.909 4.961
ATOMIC_POSITIONS angstrom
Mo -1.042 -1.586 -2.181
As -0.370 -2.901 0.371
Cd 0.000 0.000 0.000
Cd -2.691 -1.182 0.228
```

Calculated values
E_form in meV/atom: 409
Mass density in g/cm3: 9.26


Quick rundown of DFT total energy, same order as above: -21.83; -22.32; -21.73; -21.32; -21.70; -29.95; -28.55; -28.57 eV per atom
Quick rundown of magnetization, same order as above: 7.27; 2.81; 6.52; 3.02; 2.73; 0.00; 0.00; 1.01 μB per formula unit
Quick rundown of DOS at the Fermi energy, same order as above: 0.47; 0.31; 0.78; 0.39; 0.67; 1.42; 0.59; 0.36 states/eV per atom